A plane-wave DFT calculation with PBE was carried out for an optimized crystal structure of NaGaFeW. Values from VASP.

- Distance to the lowest polymorph of the same formula: 0.0612 eV/atom

```
&SYSTEM
  ibrav = 0, nat = 4, ntyp = 4
/
ATOMIC_SPECIES
Na 22.99 Na.upf
Ga 69.72 Ga.upf
Fe 55.84 Fe.upf
W 183.84 W.upf
CELL_PARAMETERS angstrom
0.000 3.120 3.120
3.120 0.000 3.120
3.120 3.120 0.000
ATOMIC_POSITIONS crystal
Na 0.000 0.000 0.000
Ga 0.750 0.750 0.750
Fe 0.250 0.250 0.250
W 0.500 0.500 0.500
```

---

A plane-wave DFT calculation with PBE was carried out for an optimized crystal structure of NaGaFeW. Values from VASP.

- Distance to the lowest polymorph of the same formula: 0.0000 eV/atom

```
&SYSTEM
  ibrav = 0, nat = 4, ntyp = 4
/
ATOMIC_SPECIES
Na 22.99 Na.upf
Ga 69.72 Ga.upf
Fe 55.84 Fe.upf
W 183.84 W.upf
CELL_PARAMETERS angstrom
0.000 3.038 3.038
3.038 0.000 3.038
3.038 3.038 0.000
ATOMIC_POSITIONS crystal
Na 0.000 0.000 0.000
Ga 0.750 0.750 0.750
Fe 0.500 0.500 0.500
W 0.250 0.250 0.250
```

---

A plane-wave DFT calculation with PBE was carried out for an optimized crystal structure of NbGaFeNi. Values from VASP.

- Distance to the lowest polymorph of the same formula: 0.1845 eV/atom

```
&SYSTEM
  ibrav = 0, nat = 4, ntyp = 4
/
ATOMIC_SPECIES
Nb 92.91 Nb.upf
Ga 69.72 Ga.upf
Fe 55.84 Fe.upf
Ni 58.69 Ni.upf
CELL_PARAMETERS angstrom
0.000 3.028 3.028
3.028 0.000 3.028
3.028 3.028 0.000
ATOMIC_POSITIONS crystal
Nb 0.000 0.000 0.000
Ga 0.250 0.250 0.250
Fe 0.500 0.500 0.500
Ni 0.750 0.750 0.750
```